## HoGa2CuNi2 (PBE-GGA)

Data for crystalline HoGa2CuNi2 at its relaxed geometry.

The electronic total energy is -4.38 eV/atom.

a = 4.4318 Å, b = 4.4318 Å, c = 5.2481 Å
α = 90.00°, β = 90.00°, γ = 90.00°
Space group P4/mmm (No. 123)
One atom of each set of equivalent atoms:
Ho: 0.0000 0.0000 0.0000 x1
Ga: 0.0000 0.5000 0.5000 x2
Cu: 0.0000 0.0000 0.5000 x1
Ni: 0.5000 0.5000 0.2376 x2